Here is crystalline K2Sn7Au12 at its relaxed geometry from Alexandria via LeMat-Bulk. Energies are from GGA-PBE. Values from VASP.

The structure in Quantum ESPRESSO input format:
```
&SYSTEM
  ibrav = 0, nat = 21, ntyp = 3
/
ATOMIC_SPECIES
K 39.10 K.upf
Sn 118.71 Sn.upf
Au 196.97 Au.upf
ATOMIC_POSITIONS angstrom
K 1.094 5.277 3.055
K 4.070 10.560 6.100
Sn 1.755 7.851 6.561
Sn 1.759 11.514 3.520
Sn 1.766 12.312 8.219
Sn 2.575 0.000 0.000
Sn 3.398 3.525 0.936
Sn 3.405 4.323 5.636
Sn 3.409 7.986 2.594
Au 0.841 2.039 1.155
Au 0.848 5.262 6.815
Au 0.853 8.537 1.186
Au 1.034 9.667 8.646
Au 1.031 8.800 4.053
Au 1.039 13.207 5.601
Au 4.125 2.630 3.554
Au 4.133 7.037 5.102
Au 4.130 6.170 0.509
Au 4.311 7.300 7.969
Au 4.316 10.575 2.341
Au 4.323 13.798 8.000
CELL_PARAMETERS angstrom
5.149 0.000 0.000
0.009 10.558 0.000
0.005 5.279 9.155
```

Values from the calculation:
Fermi-level density of states: 9.428 states/eV per cell
theoretical density: 10.92 g cm⁻³
total magnetic moment: 0.00 μB/f.u.
calculated volume: 497.76 Å³ per cell
energy of formation from the pure elements: -4.68 eV/f.u.